Record 1
VASP calculation (SCAN) on Be2TlF5 at its PBEsol-relaxed geometry.

```
16
Lattice="4.015 -2.316 0.000 4.015 2.316 0.000 -0.278 0.000 12.226" Properties=species:S:1:pos:R:3 pbc="T T T"
Be 1.288 0.084 2.481
Be 1.149 -0.084 8.594
Be 6.603 0.084 3.632
Be 6.464 -0.084 9.745
Tl 4.015 0.000 0.000
Tl 3.876 0.000 6.113
F 3.945 1.865 3.057
F 2.298 0.732 9.292
F 1.203 0.032 7.089
F 1.342 -0.032 0.976
F 2.437 -0.732 3.179
F 5.315 0.732 9.047
F 6.410 0.032 11.250
F 6.549 -0.032 5.137
F 5.454 -0.732 2.934
F 3.807 -1.865 9.170
```

Values from the calculation:
- E_tot (eV for the cell shown) = -246.8
- symmetry = C2/c
- E_form (uncorrected) (eV/atom) = -3.080

Record 2
VASP calculation (SCAN) on BeTl2F4 at its PBEsol-relaxed geometry.

```
28
Lattice="7.595 0.000 0.000 0.000 5.745 0.000 0.000 0.000 10.325" Properties=species:S:1:pos:R:3 pbc="T T T"
Be 1.768 1.436 0.813
Be 2.030 4.309 5.976
Be 5.565 1.436 4.349
Be 5.828 4.309 9.512
Tl 0.096 4.309 1.993
Tl 1.252 1.436 4.255
Tl 2.546 4.309 9.417
Tl 3.701 1.436 7.156
Tl 3.894 4.309 3.169
Tl 5.049 1.436 0.908
Tl 6.343 4.309 6.071
Tl 7.499 1.436 8.332
F 0.214 1.436 0.886
F 1.448 3.027 6.653
F 1.448 5.590 6.653
F 1.524 4.309 4.484
F 2.274 1.436 9.647
F 2.350 0.155 1.491
F 2.350 2.718 1.491
F 3.583 4.309 6.049
F 4.012 1.436 4.277
F 5.245 3.027 8.835
F 5.245 5.590 8.835
F 5.321 4.309 0.678
F 6.071 1.436 5.841
F 6.148 0.155 3.672
F 6.148 2.718 3.672
F 7.381 4.309 9.439
```

Values from the calculation:
- E_tot (eV for the cell shown) = -725.1
- symmetry = Pnma
- E_form (uncorrected) (eV/atom) = -2.578

Record 3
VASP calculation (SCAN) on YBeF3 at its PBEsol-relaxed geometry.

```
5
Lattice="4.382 0.000 0.000 0.000 4.382 0.000 0.000 0.000 4.382" Properties=species:S:1:pos:R:3 pbc="T T T"
Y 0.000 0.000 0.000
Be 2.191 2.191 2.191
F 0.000 0.000 2.191
F 0.000 2.191 0.000
F 2.191 0.000 0.000
```

Values from the calculation:
- E_tot (eV for the cell shown) = -56.3
- symmetry = Pm-3m
- E_form (uncorrected) (eV/atom) = -2.695

Record 4
VASP calculation (SCAN) on ZrBeF2 at its PBEsol-relaxed geometry.

```
4
Lattice="0.000 2.866 2.866 2.866 0.000 2.866 2.866 2.866 0.000" Properties=species:S:1:pos:R:3 pbc="T T T"
Zr 0.000 0.000 0.000
Be 2.866 2.866 2.866
F 1.433 1.433 1.433
F 4.298 4.298 4.298
```

Values from the calculation:
- E_tot (eV for the cell shown) = -46.6
- symmetry = Fm-3m
- E_form (uncorrected) (eV/atom) = -1.121

Record 5
VASP calculation (SCAN) on ZrBeF2 at its PBEsol-relaxed geometry.

```
4
Lattice="1.371 0.791 8.508 -1.371 0.791 8.508 0.000 -1.583 8.508" Properties=species:S:1:pos:R:3 pbc="T T T"
Zr 0.000 0.000 0.000
Be 0.000 0.000 12.762
F 0.000 0.000 3.391
F 0.000 0.000 22.133
```

Values from the calculation:
- E_tot (eV for the cell shown) = -49.4
- symmetry = R-3m
- E_form (uncorrected) (eV/atom) = -1.810

Record 6
VASP calculation (SCAN) on Be2Fe at its PBEsol-relaxed geometry.

```
6
Lattice="4.021 -1.287 0.000 4.021 1.287 0.000 -1.669 0.000 4.862" Properties=species:S:1:pos:R:3 pbc="T T T"
Be -0.346 0.000 1.223
Be 1.147 0.000 4.523
Be 5.225 0.000 0.339
Be 6.718 0.000 3.639
Fe 1.998 0.000 1.959
Fe 4.374 0.000 2.903
```

Values from the calculation:
- E_tot (eV for the cell shown) = -53.7
- symmetry = C2/m
- calculated formation energy (eV per formula unit) = -0.01